[1]
# GGA-PBE BaPrCuSe3, relaxed
# Electronic total energy = -5.00 eV per atom
# Crystal system = monoclinic
data_BaPrCuSe3
_chemical_formula_sum 'Ba2 Pr2 Cu2 Se6'
_cell_length_a 8.4232
_cell_length_b 4.2400
_cell_length_c 10.0718
_cell_angle_alpha 90.00
_cell_angle_beta 105.82
_cell_angle_gamma 90.00
_space_group_name_H-M_alt 'P 1'
_space_group_IT_number 1
_space_group_name_Hall 'P 1'
loop_
_atom_site_label
_atom_site_type_symbol
_atom_site_fract_x
_atom_site_fract_y
_atom_site_fract_z
_atom_site_occupancy
Ba1 Ba 0.2429 0.2500 0.2952 1
Ba2 Ba 0.7571 0.7500 0.7048 1
Pr1 Pr 0.3010 0.7500 0.8461 1
Pr2 Pr 0.6990 0.2500 0.1539 1
Cu1 Cu 0.0760 0.2500 0.5922 1
Cu2 Cu 0.9240 0.7500 0.4078 1
Se1 Se 0.0554 0.2500 0.8354 1
Se2 Se 0.2270 0.7500 0.5428 1
Se3 Se 0.4460 0.7500 0.1540 1
Se4 Se 0.5540 0.2500 0.8460 1
Se5 Se 0.7730 0.2500 0.4572 1
Se6 Se 0.9446 0.7500 0.1646 1

=====

[2]
# GGA-PBE BaPrCuTe2Se, relaxed
# Electronic total energy = -4.72 eV per atom
# Crystal system = orthorhombic
data_BaPrCuTe2Se
_chemical_formula_sum 'Ba2 Pr2 Cu2 Te4 Se2'
_cell_length_a 7.7877
_cell_length_b 7.7877
_cell_length_c 11.2096
_cell_angle_alpha 90.00
_cell_angle_beta 90.00
_cell_angle_gamma 146.88
_space_group_name_H-M_alt 'P 1'
_space_group_IT_number 1
_space_group_name_Hall 'P 1'
loop_
_atom_site_label
_atom_site_type_symbol
_atom_site_fract_x
_atom_site_fract_y
_atom_site_fract_z
_atom_site_occupancy
Ba1 Ba 0.2296 0.7704 0.7500 1
Ba2 Ba 0.7704 0.2296 0.2500 1
Pr1 Pr 0.5000 0.5000 0.0000 1
Pr2 Pr 0.5000 0.5000 0.5000 1
Cu1 Cu 0.0294 0.9706 0.2500 1
Cu2 Cu 0.9706 0.0294 0.7500 1
Te1 Te 0.1436 0.8564 0.0675 1
Te2 Te 0.1436 0.8564 0.4325 1
Te3 Te 0.8564 0.1436 0.5675 1
Te4 Te 0.8564 0.1436 0.9325 1
Se1 Se 0.4354 0.5646 0.2500 1
Se2 Se 0.5646 0.4354 0.7500 1

=====

[3]
# GGA-PBE BaPrCuTeSe2, relaxed
# Electronic total energy = -4.87 eV per atom
# Crystal system = orthorhombic
data_BaPrCuTeSe2
_chemical_formula_sum 'Ba2 Pr2 Cu2 Te2 Se4'
_cell_length_a 7.6425
_cell_length_b 7.6425
_cell_length_c 11.5745
_cell_angle_alpha 90.00
_cell_angle_beta 90.00
_cell_angle_gamma 147.17
_space_group_name_H-M_alt 'P 1'
_space_group_IT_number 1
_space_group_name_Hall 'P 1'
loop_
_atom_site_label
_atom_site_type_symbol
_atom_site_fract_x
_atom_site_fract_y
_atom_site_fract_z
_atom_site_occupancy
Ba1 Ba 0.2307 0.7693 0.7500 1
Ba2 Ba 0.7693 0.2307 0.2500 1
Pr1 Pr 0.0000 0.0000 0.0000 1
Pr2 Pr 0.0000 0.0000 0.5000 1
Cu1 Cu 0.4735 0.5265 0.2500 1
Cu2 Cu 0.5265 0.4735 0.7500 1
Te1 Te 0.0837 0.9163 0.2500 1
Te2 Te 0.9163 0.0837 0.7500 1
Se1 Se 0.3724 0.6276 0.0767 1
Se2 Se 0.3724 0.6276 0.4233 1
Se3 Se 0.6276 0.3724 0.5767 1
Se4 Se 0.6276 0.3724 0.9233 1

=====

[4]
# GGA-PBE BaCuSb2Pt, relaxed
# Electronic total energy = -4.66 eV per atom
# Crystal system = monoclinic
data_BaCuSb2Pt
_chemical_formula_sum 'Ba2 Cu2 Sb4 Pt2'
_cell_length_a 4.7742
_cell_length_b 4.7615
_cell_length_c 10.8270
_cell_angle_alpha 90.00
_cell_angle_beta 90.37
_cell_angle_gamma 90.00
_space_group_name_H-M_alt 'P 1'
_space_group_IT_number 1
_space_group_name_Hall 'P 1'
loop_
_atom_site_label
_atom_site_type_symbol
_atom_site_fract_x
_atom_site_fract_y
_atom_site_fract_z
_atom_site_occupancy
Ba1 Ba 0.2458 0.2500 0.2429 1
Ba2 Ba 0.7542 0.7500 0.7571 1
Cu1 Cu 0.2268 0.7500 0.0000 1
Cu2 Cu 0.7732 0.2500 0.0000 1
Sb1 Sb 0.2510 0.7500 0.4997 1
Sb2 Sb 0.2654 0.2500 0.8747 1
Sb3 Sb 0.7346 0.7500 0.1253 1
Sb4 Sb 0.7490 0.2500 0.5003 1
Pt1 Pt 0.2513 0.2500 0.6226 1
Pt2 Pt 0.7487 0.7500 0.3774 1

=====

[5]
# GGA-PBE Ba2CuSb2Pt, relaxed
# Electronic total energy = -4.47 eV per atom
# Crystal system = hexagonal
data_Ba2CuSb2Pt
_chemical_formula_sum 'Ba2 Cu1 Sb2 Pt1'
_cell_length_a 4.6028
_cell_length_b 4.6028
_cell_length_c 9.8435
_cell_angle_alpha 90.00
_cell_angle_beta 90.00
_cell_angle_gamma 120.00
_space_group_name_H-M_alt 'P 1'
_space_group_IT_number 1
_space_group_name_Hall 'P 1'
loop_
_atom_site_label
_atom_site_type_symbol
_atom_site_fract_x
_atom_site_fract_y
_atom_site_fract_z
_atom_site_occupancy
Ba1 Ba 0.0000 0.0000 0.2465 1
Ba2 Ba 0.0000 0.0000 0.7535 1
Cu1 Cu 0.6667 0.3333 0.5000 1
Sb1 Sb 0.3333 0.6667 0.5000 1
Sb2 Sb 0.6667 0.3333 0.0000 1
Pt1 Pt 0.3333 0.6667 0.0000 1

=====

[6]
# GGA-PBE BaCuSb2Pt, relaxed
# Electronic total energy = -4.66 eV per atom
# Crystal system = tetragonal
data_BaCuSb2Pt
_chemical_formula_sum 'Ba2 Cu2 Sb4 Pt2'
_cell_length_a 4.7643
_cell_length_b 4.7643
_cell_length_c 10.8278
_cell_angle_alpha 90.00
_cell_angle_beta 90.00
_cell_angle_gamma 90.00
_space_group_name_H-M_alt 'P 1'
_space_group_IT_number 1
_space_group_name_Hall 'P 1'
loop_
_atom_site_label
_atom_site_type_symbol
_atom_site_fract_x
_atom_site_fract_y
_atom_site_fract_z
_atom_site_occupancy
Ba1 Ba 0.2500 0.2500 0.2424 1
Ba2 Ba 0.7500 0.7500 0.7576 1
Cu1 Cu 0.2500 0.7500 0.0000 1
Cu2 Cu 0.7500 0.2500 0.0000 1
Sb1 Sb 0.2500 0.2500 0.8739 1
Sb2 Sb 0.2500 0.7500 0.5000 1
Sb3 Sb 0.7500 0.2500 0.5000 1
Sb4 Sb 0.7500 0.7500 0.1261 1
Pt1 Pt 0.2500 0.2500 0.6217 1
Pt2 Pt 0.7500 0.7500 0.3783 1